(1)
First-principles (PBE-GGA) data for an optimized crystal structure of Er4SnPbC, as listed in Alexandria via LeMat-Bulk.

Geometry as POSCAR:
```
Er4SnPbC
1.0
3.369 -7.934 0.000
3.369 7.934 0.000
0.000 0.000 6.734
Er Sn Pb C
8 2 2 2
Direct
0.000 0.500 0.000
0.000 0.500 0.500
0.092 0.908 0.750
0.407 0.593 0.750
0.500 0.000 0.000
0.500 0.000 0.500
0.593 0.407 0.250
0.908 0.092 0.250
0.109 0.891 0.250
0.891 0.109 0.750
0.393 0.607 0.250
0.607 0.393 0.750
0.250 0.750 0.750
0.750 0.250 0.250
```

Size of the total moment in μB/cell: 0.00
Total energy in eV/cell: -79.041
N(E_F) in states/eV per cell: 1.2
Formation enthalpy at 0 K in eV/atom: -0.619

---

(2)
First-principles (PBE-GGA) data for an optimized crystal structure of Tb3ErPb2C, as listed in Alexandria via LeMat-Bulk.

Geometry as POSCAR:
```
Tb3ErPb2C
1.0
-2.399 2.426 8.087
2.399 -2.426 8.087
2.399 2.426 -8.087
Tb Er Pb C
3 1 2 1
Direct
0.000 0.000 0.000
0.343 0.843 0.500
0.657 0.157 0.500
0.500 0.500 0.000
0.142 0.642 0.500
0.858 0.358 0.500
0.500 0.000 0.500
```

Size of the total moment in μB/cell: 0.00
Total energy in eV/cell: -39.015
N(E_F) in states/eV per cell: 0.7
Formation enthalpy at 0 K in eV/atom: -0.560

---

(3)
First-principles (PBE-GGA) data for an optimized crystal structure of TbEr2PbC, as listed in Alexandria via LeMat-Bulk.

Geometry as POSCAR:
```
TbEr2PbC
1.0
4.867 0.000 0.000
0.000 4.867 0.000
0.000 0.000 4.950
Tb Er Pb C
1 2 1 1
Direct
0.000 0.000 0.000
0.000 0.500 0.500
0.500 0.000 0.500
0.500 0.500 0.000
0.000 0.000 0.500
```

Size of the total moment in μB/cell: 0.00
Total energy in eV/cell: -29.431
N(E_F) in states/eV per cell: 2.1
Formation enthalpy at 0 K in eV/atom: -0.549

---

(4)
First-principles (PBE-GGA) data for an optimized crystal structure of Er2ThPbC, as listed in Alexandria via LeMat-Bulk.

Geometry as POSCAR:
```
Er2ThPbC
1.0
4.914 0.000 0.000
0.000 4.914 0.000
0.000 0.000 5.063
Er Th Pb C
2 1 1 1
Direct
0.000 0.500 0.000
0.500 0.000 0.000
0.000 0.000 0.500
0.500 0.500 0.500
0.000 0.000 0.000
```

Size of the total moment in μB/cell: 0.00
Total energy in eV/cell: -31.609
N(E_F) in states/eV per cell: 3.2
Formation enthalpy at 0 K in eV/atom: -0.426

---

(5)
First-principles (PBE-GGA) data for an optimized crystal structure of ErTh2PbC, as listed in Alexandria via LeMat-Bulk.

Geometry as POSCAR:
```
ErTh2PbC
1.0
5.087 0.000 0.000
0.000 5.087 0.000
0.000 0.000 4.949
Er Th Pb C
1 2 1 1
Direct
0.000 0.000 0.000
0.000 0.500 0.500
0.500 0.000 0.500
0.500 0.500 0.000
0.000 0.000 0.500
```

Size of the total moment in μB/cell: 0.00
Total energy in eV/cell: -34.053
N(E_F) in states/eV per cell: 3.8
Formation enthalpy at 0 K in eV/atom: -0.344

---

(6)
First-principles (PBE-GGA) data for an optimized crystal structure of Er6TlPb2C, as listed in Alexandria via LeMat-Bulk.

Geometry as POSCAR:
```
Er6TlPb2C
1.0
5.319 0.000 0.000
0.000 5.319 0.000
0.000 0.000 10.363
Er Tl Pb C
6 1 2 1
Direct
0.000 0.000 0.222
0.000 0.000 0.778
0.000 0.500 0.000
0.000 0.500 0.500
0.500 0.000 0.000
0.500 0.000 0.500
0.000 0.000 0.500
0.500 0.500 0.238
0.500 0.500 0.762
0.000 0.000 0.000
```

Size of the total moment in μB/cell: 0.00
Total energy in eV/cell: -47.140
N(E_F) in states/eV per cell: 3.1
Formation enthalpy at 0 K in eV/atom: -0.076

---

(7)
First-principles (PBE-GGA) data for an optimized crystal structure of Er3TmPb2C, as listed in Alexandria via LeMat-Bulk.

Geometry as POSCAR:
```
Er3TmPb2C
1.0
-2.380 2.389 7.972
2.380 -2.389 7.972
2.380 2.389 -7.972
Er Tm Pb C
3 1 2 1
Direct
0.000 0.000 0.000
0.344 0.844 0.500
0.656 0.156 0.500
0.500 0.500 0.000
0.143 0.643 0.500
0.857 0.357 0.500
0.500 0.000 0.500
```

Size of the total moment in μB/cell: 0.00
Total energy in eV/cell: -38.767
N(E_F) in states/eV per cell: 0.7
Formation enthalpy at 0 K in eV/atom: -0.567

---

(8)
First-principles (PBE-GGA) data for an optimized crystal structure of Er2Tm2Pb2C, as listed in Alexandria via LeMat-Bulk.

Geometry as POSCAR:
```
Er2Tm2Pb2C
1.0
-2.379 2.379 7.968
2.379 -2.379 7.968
2.379 2.379 -7.968
Er Tm Pb C
2 2 2 1
Direct
0.156 0.156 0.000
0.844 0.844 0.000
0.000 0.500 0.500
0.500 0.000 0.500
0.357 0.357 0.000
0.643 0.643 0.000
0.000 0.000 0.000
```

Size of the total moment in μB/cell: 0.00
Total energy in eV/cell: -38.726
N(E_F) in states/eV per cell: 0.7
Formation enthalpy at 0 K in eV/atom: -0.574

---

(9)
First-principles (PBE-GGA) data for an optimized crystal structure of Er2TmPbC, as listed in Alexandria via LeMat-Bulk.

Geometry as POSCAR:
```
Er2TmPbC
1.0
4.866 0.000 0.000
0.000 4.866 0.000
0.000 0.000 4.837
Er Tm Pb C
2 1 1 1
Direct
0.000 0.500 0.000
0.500 0.000 0.000
0.000 0.000 0.500
0.500 0.500 0.500
0.000 0.000 0.000
```

Size of the total moment in μB/cell: 0.00
Total energy in eV/cell: -29.342
N(E_F) in states/eV per cell: 2.0
Formation enthalpy at 0 K in eV/atom: -0.563

---

(10)
First-principles (PBE-GGA) data for an optimized crystal structure of Er8PdC4, as listed in Alexandria via LeMat-Bulk.

Geometry as POSCAR:
```
Er8PdC4
1.0
8.568 -1.809 0.000
8.568 1.809 0.000
-8.562 0.000 8.573
Er Pd C
8 1 4
Direct
0.047 0.047 0.207
0.322 0.322 0.464
0.340 0.340 0.887
0.357 0.357 0.180
0.643 0.643 0.820
0.660 0.660 0.113
0.678 0.678 0.536
0.953 0.953 0.793
0.000 0.000 0.500
0.154 0.154 0.977
0.323 0.323 0.669
0.677 0.677 0.331
0.846 0.846 0.023
```

Size of the total moment in μB/cell: 0.00
Total energy in eV/cell: -82.554
N(E_F) in states/eV per cell: 8.2
Formation enthalpy at 0 K in eV/atom: -0.305

---

(11)
First-principles (PBE-GGA) data for an optimized crystal structure of Er12Pd3C5, as listed in Alexandria via LeMat-Bulk.

Geometry as POSCAR:
```
Er12Pd3C5
1.0
-7.685 7.685 7.685
7.685 -7.685 7.685
7.685 7.685 -7.685
Er Pd C
48 12 20
Direct
0.023 0.204 0.120
0.023 0.319 0.904
0.084 0.704 0.681
0.084 0.880 0.404
0.096 0.620 0.416
0.096 0.977 0.681
0.120 0.023 0.204
0.120 0.596 0.916
0.181 0.204 0.584
0.181 0.477 0.596
0.204 0.120 0.023
0.204 0.584 0.181
0.296 0.319 0.916
0.296 0.477 0.380
0.319 0.904 0.023
0.319 0.916 0.296
0.380 0.296 0.477
0.380 0.584 0.904
0.404 0.084 0.880
0.404 0.819 0.523
0.416 0.096 0.620
0.416 0.819 0.796
0.477 0.380 0.296
0.477 0.596 0.181
0.523 0.404 0.819
0.523 0.620 0.704
0.584 0.181 0.204
0.584 0.904 0.380
0.596 0.181 0.477
0.596 0.916 0.120
0.620 0.416 0.096
0.620 0.704 0.523
0.681 0.084 0.704
0.681 0.096 0.977
0.704 0.523 0.620
0.704 0.681 0.084
0.796 0.416 0.819
0.796 0.880 0.977
0.819 0.523 0.404
0.819 0.796 0.416
0.880 0.404 0.084
0.880 0.977 0.796
0.904 0.023 0.319
0.904 0.380 0.584
0.916 0.120 0.596
0.916 0.296 0.319
0.977 0.681 0.096
0.977 0.796 0.880
0.125 0.250 0.375
0.125 0.375 0.750
0.250 0.375 0.125
0.250 0.875 0.625
0.375 0.125 0.250
0.375 0.750 0.125
0.625 0.250 0.875
0.625 0.875 0.750
0.750 0.125 0.375
0.750 0.625 0.875
0.875 0.625 0.250
0.875 0.750 0.625
0.000 0.000 0.000
0.000 0.000 0.500
0.000 0.500 0.000
0.000 0.500 0.500
0.125 0.750 0.875
0.125 0.875 0.250
0.250 0.125 0.875
0.250 0.625 0.375
0.375 0.250 0.625
0.375 0.625 0.750
0.500 0.000 0.000
0.500 0.000 0.500
0.500 0.500 0.000
0.500 0.500 0.500
0.625 0.375 0.250
0.625 0.750 0.375
0.750 0.375 0.625
0.750 0.875 0.125
0.875 0.125 0.750
0.875 0.250 0.125
```

Size of the total moment in μB/cell: 0.00
Total energy in eV/cell: -490.666
N(E_F) in states/eV per cell: 63.6
Formation enthalpy at 0 K in eV/atom: -0.311

---

(12)
First-principles (PBE-GGA) data for an optimized crystal structure of Er4Pd2C, as listed in Alexandria via LeMat-Bulk.

Geometry as POSCAR:
```
Er4Pd2C
1.0
-2.365 2.365 7.146
2.365 -2.365 7.146
2.365 2.365 -7.146
Er Pd C
4 2 1
Direct
0.000 0.500 0.500
0.172 0.172 0.000
0.500 0.000 0.500
0.828 0.828 0.000
0.367 0.367 0.000
0.633 0.633 0.000
0.000 0.000 0.000
```

Size of the total moment in μB/cell: 0.00
Total energy in eV/cell: -41.448
N(E_F) in states/eV per cell: 4.0
Formation enthalpy at 0 K in eV/atom: -0.512

---

(13)
First-principles (PBE-GGA) data for an optimized crystal structure of Er3PdC, as listed in Alexandria via LeMat-Bulk.

Geometry as POSCAR:
```
Er3PdC
1.0
4.783 0.000 0.000
0.000 4.783 0.000
0.000 0.000 4.783
Er Pd C
3 1 1
Direct
0.000 0.000 0.500
0.000 0.500 0.000
0.500 0.000 0.000
0.500 0.500 0.500
0.000 0.000 0.000
```

Size of the total moment in μB/cell: 0.00
Total energy in eV/cell: -30.098
N(E_F) in states/eV per cell: 3.8
Formation enthalpy at 0 K in eV/atom: -0.399

---

(14)
First-principles (PBE-GGA) data for an optimized crystal structure of PmEr2C, as listed in Alexandria via LeMat-Bulk.

Geometry as POSCAR:
```
PmEr2C
1.0
1.754 1.013 9.746
-1.754 1.013 9.746
0.000 -2.025 9.746
Pm Er C
1 2 1
Direct
0.000 0.000 0.000
0.121 0.121 0.121
0.879 0.879 0.879
0.500 0.500 0.500
```

Size of the total moment in μB/cell: 0.08
Total energy in eV/cell: -23.584
N(E_F) in states/eV per cell: 4.8
Formation enthalpy at 0 K in eV/atom: -0.121

---

(15)
First-principles (PBE-GGA) data for an optimized crystal structure of Pm3ErC8, as listed in Alexandria via LeMat-Bulk.

Geometry as POSCAR:
```
Pm3ErC8
1.0
-3.600 3.600 3.805
3.600 -3.600 3.805
3.600 3.600 -3.805
Pm Er C
3 1 8
Direct
0.000 0.000 0.000
0.250 0.750 0.500
0.750 0.250 0.500
0.500 0.500 0.000
0.110 0.640 0.000
0.119 0.439 0.000
0.360 0.360 0.470
0.439 0.119 0.000
0.561 0.561 0.680
0.640 0.110 0.000
0.881 0.881 0.320
0.890 0.890 0.530
```

Size of the total moment in μB/cell: 0.00
Total energy in eV/cell: -90.913
N(E_F) in states/eV per cell: 2.9
Formation enthalpy at 0 K in eV/atom: 0.141

---

(16)
First-principles (PBE-GGA) data for an optimized crystal structure of PmEr2C, as listed in Alexandria via LeMat-Bulk.

Geometry as POSCAR:
```
PmEr2C
1.0
1.781 1.028 9.157
-1.781 1.028 9.157
0.000 -2.057 9.157
Pm Er C
1 2 1
Direct
0.000 0.000 0.000
0.217 0.217 0.217
0.453 0.453 0.453
0.835 0.835 0.835
```

Size of the total moment in μB/cell: 0.41
Total energy in eV/cell: -23.922
N(E_F) in states/eV per cell: 3.6
Formation enthalpy at 0 K in eV/atom: -0.205

---

(17)
First-principles (PBE-GGA) data for an optimized crystal structure of PmEr3C2, as listed in Alexandria via LeMat-Bulk.

Geometry as POSCAR:
```
PmEr3C2
1.0
6.226 -3.593 0.000
6.226 3.593 0.000
-4.163 0.000 6.152
Pm Er C
2 6 4
Direct
0.246 0.246 0.238
0.754 0.754 0.762
0.235 0.739 0.212
0.261 0.261 0.788
0.261 0.765 0.788
0.739 0.235 0.212
0.739 0.739 0.212
0.765 0.261 0.788
0.000 0.000 0.000
0.000 0.500 0.000
0.500 0.000 0.000
0.500 0.500 0.000
```

Size of the total moment in μB/cell: 1.73
Total energy in eV/cell: -76.955
N(E_F) in states/eV per cell: 9.1
Formation enthalpy at 0 K in eV/atom: -0.265

---

(18)
First-principles (PBE-GGA) data for an optimized crystal structure of Pm2ErC2, as listed in Alexandria via LeMat-Bulk.

Geometry as POSCAR:
```
Pm2ErC2
1.0
6.573 -1.839 0.000
6.573 1.839 0.000
-4.220 0.000 9.384
Pm Er C
4 2 4
Direct
0.018 0.018 0.264
0.325 0.325 0.900
0.675 0.675 0.100
0.982 0.982 0.736
0.311 0.311 0.417
0.689 0.689 0.583
0.055 0.055 0.534
0.338 0.338 0.670
0.662 0.662 0.330
0.945 0.945 0.466
```

Size of the total moment in μB/cell: 0.00
Total energy in eV/cell: -66.431
N(E_F) in states/eV per cell: 9.0
Formation enthalpy at 0 K in eV/atom: -0.141

---

(19)
First-principles (PBE-GGA) data for an optimized crystal structure of Pm2ErC, as listed in Alexandria via LeMat-Bulk.

Geometry as POSCAR:
```
Pm2ErC
1.0
1.800 1.039 9.851
-1.800 1.039 9.851
0.000 -2.078 9.851
Pm Er C
2 1 1
Direct
0.119 0.119 0.119
0.881 0.881 0.881
0.000 0.000 0.000
0.500 0.500 0.500
```

Size of the total moment in μB/cell: 0.00
Total energy in eV/cell: -23.098
N(E_F) in states/eV per cell: 3.9
Formation enthalpy at 0 K in eV/atom: 0.048

---

(20)
First-principles (PBE-GGA) data for an optimized crystal structure of PmErCS, as listed in Alexandria via LeMat-Bulk.

Geometry as POSCAR:
```
PmErCS
1.0
3.848 0.000 0.000
0.000 3.848 0.000
0.000 0.000 5.327
Pm Er C S
1 1 1 1
Direct
0.000 0.000 0.000
0.500 0.500 0.500
0.000 0.000 0.500
0.500 0.500 0.000
```

Energy relative to the elements, uncorrected in meV per atom: -999.6
Size of the total moment in μB/cell: 0.00
Total energy in eV/cell: -26.663
N(E_F) in states/eV per cell: 1.0